No. 1
Material: Pr5Sc2
Method: DFT, PBE-GGA
State: optimized geometry

```
data_Pr5Sc2
_space_group_name_H-M_alt 'P 1'
_space_group_IT_number 1
_space_group_name_Hall 'P 1'
_cell_length_a 5.640
_cell_length_b 5.640
_cell_length_c 8.788
_cell_angle_alpha 92.45
_cell_angle_beta 106.98
_cell_angle_gamma 118.57
loop_
_atom_site_label
_atom_site_type_symbol
_atom_site_fract_x
_atom_site_fract_y
_atom_site_fract_z
Pr1 Pr 0.855 0.922 0.278
Pr2 Pr 0.000 0.500 0.000
Pr3 Pr 0.311 0.658 0.468
Sc1 Sc 0.416 0.202 0.118
Pr4 Pr 0.689 0.342 0.532
Pr5 Pr 0.145 0.078 0.722
Sc2 Sc 0.584 0.798 0.882
```

Calculated values
Formation enthalpy at 0 K   0.1053 eV/atom

***

No. 2
Material: Pr3Sc
Method: DFT, PBE-GGA
State: optimized geometry

```
data_Pr3Sc
_space_group_name_H-M_alt 'P 1'
_space_group_IT_number 1
_space_group_name_Hall 'P 1'
_cell_length_a 3.669
_cell_length_b 6.226
_cell_length_c 6.864
_cell_angle_alpha 116.97
_cell_angle_beta 105.50
_cell_angle_gamma 90.00
loop_
_atom_site_label
_atom_site_type_symbol
_atom_site_fract_x
_atom_site_fract_y
_atom_site_fract_z
Pr1 Pr 0.741 0.081 0.482
Pr2 Pr 0.259 0.599 0.518
Pr3 Pr 0.500 0.491 0.000
Sc1 Sc 0.000 0.996 0.000
```

Calculated values
Excess energy over the best structure of this formula in the dataset   26 meV/atom
Formation enthalpy at 0 K   0.0646 eV/atom

***

No. 3
Material: PrSc5
Method: DFT, PBE-GGA
State: optimized geometry

```
data_PrSc5
_space_group_name_H-M_alt 'P 1'
_space_group_IT_number 1
_space_group_name_Hall 'P 1'
_cell_length_a 3.609
_cell_length_b 5.337
_cell_length_c 8.616
_cell_angle_alpha 108.04
_cell_angle_beta 90.00
_cell_angle_gamma 90.00
loop_
_atom_site_label
_atom_site_type_symbol
_atom_site_fract_x
_atom_site_fract_y
_atom_site_fract_z
Sc1 Sc 0.500 0.184 0.368
Sc2 Sc 0.500 0.816 0.632
Pr1 Pr 0.000 0.000 0.000
Sc3 Sc 0.000 0.343 0.686
Sc4 Sc 0.500 0.500 0.000
Sc5 Sc 0.000 0.657 0.314
```

Calculated values
Excess energy over the best structure of this formula in the dataset   61 meV/atom
Formation enthalpy at 0 K   0.0962 eV/atom